[1]
This record from Alexandria describes a relaxed AlCd2Re crystal. The functional is PBE.

Cell: 3.248 3.248 6.940 Å, 90.00 90.00 90.00°
Fractional coordinates of all 4 atoms:
Al (0.000, 0.000, 0.000)
Cd (0.000, 0.000, 0.575)
Cd (0.500, 0.500, 0.282)
Re (0.500, 0.500, 0.844)

Properties
Magnetic moment (μB per formula unit): 0.0
Energy of formation from the pure elements (eV/atom): 0.291
Mass density (g/cm3): 9.931

[2]
This record from Alexandria describes a relaxed DyGe3Ru crystal. The functional is PBE.

Cell: 6.128 5.681 5.701 Å, 90.00 90.00 90.00°
Fractional coordinates of all 10 atoms:
Dy (0.000, 0.140, 0.000)
Dy (0.500, 0.860, 0.500)
Ge (0.000, 0.915, 0.548)
Ge (0.234, 0.325, 0.455)
Ge (0.266, 0.675, 0.955)
Ge (0.500, 0.085, 0.048)
Ge (0.734, 0.675, 0.955)
Ge (0.766, 0.325, 0.455)
Ru (0.000, 0.616, 0.261)
Ru (0.500, 0.384, 0.761)

Properties
Magnetic moment (μB per formula unit): 0.0
Energy of formation from the pure elements (eV/atom): -0.434
Mass density (g/cm3): 8.057

[3]
This record from Alexandria describes a relaxed CaHfCuSn2 crystal. The functional is PBE.

Cell: 5.037 5.037 5.016 Å, 90.00 90.00 90.00°
Fractional coordinates of all 5 atoms:
Ca (0.000, 0.000, 0.000)
Hf (0.500, 0.500, 0.000)
Cu (0.000, 0.000, 0.500)
Sn (0.000, 0.500, 0.500)
Sn (0.500, 0.000, 0.500)

Properties
Magnetic moment (μB per formula unit): 1.0
Energy of formation from the pure elements (eV/atom): 0.362
Mass density (g/cm3): 6.781

[4]
This record from Alexandria describes a relaxed Mn2HgH crystal. The functional is PBE.

Cell: 4.418 4.418 4.418 Å, 60.00 60.00 60.00°
Fractional coordinates of all 4 atoms:
Mn (0.250, 0.250, 0.250)
Mn (0.750, 0.750, 0.750)
Hg (0.000, 0.000, 0.000)
H (0.500, 0.500, 0.500)

Properties
Magnetic moment (μB per formula unit): 7.5
Energy above the lowest structure with this stoichiometry (kJ/mol of formula units): 177.8
Mass density (g/cm3): 8.485

[5]
This record from Alexandria describes a relaxed CrRhW2 crystal. The functional is PBE.

Cell: 5.020 5.020 5.020 Å, 142.36 129.40 64.75°
Fractional coordinates of all 4 atoms:
Cr (0.000, 0.000, 0.000)
Rh (0.261, 0.761, 0.500)
W (0.523, 0.523, 0.000)
W (0.773, 0.273, 0.500)

Properties
Magnetic moment (μB per formula unit): 0.0
Energy of formation from the pure elements (eV/atom): 0.155
Energy above the lowest structure with this stoichiometry (kJ/mol of formula units): 23.9
Mass density (g/cm3): 14.726

[6]
This record from Alexandria describes a relaxed Pm2Sm7Cd2 crystal. The functional is PBE.

Cell: 6.703 6.703 8.230 Å, 99.36 99.36 93.62°
Fractional coordinates of all 11 atoms:
Pm (0.180, 0.820, 0.000)
Pm (0.820, 0.180, 0.000)
Sm (0.000, 0.000, 0.500)
Sm (0.115, 0.524, 0.327)
Sm (0.309, 0.309, 0.966)
Sm (0.476, 0.885, 0.673)
Sm (0.524, 0.115, 0.327)
Sm (0.691, 0.691, 0.034)
Sm (0.885, 0.476, 0.673)
Cd (0.395, 0.395, 0.637)
Cd (0.605, 0.605, 0.363)

Properties
Magnetic moment (μB per formula unit): 0.0
Energy of formation from the pure elements (eV/atom): 0.036
Mass density (g/cm3): 7.260